DFT (PBE) results for a relaxed structure of NaHf2B. Values from VASP.

The formation enthalpy at 0 K comes out at 0.558 eV per atom. Its density of states at the Fermi level is 4.83 states/eV per cell.

Quantum ESPRESSO input file:
```
&SYSTEM
  ibrav = 0, nat = 8, ntyp = 3
/
ATOMIC_SPECIES
B 10.81 B.upf
Hf 178.49 Hf.upf
Na 22.99 Na.upf
CELL_PARAMETERS angstrom
-7.170 1.258 -1.218
-1.419 -7.182 0.935
-4.701 -2.510 2.717
ATOMIC_POSITIONS crystal
B 0.250 0.750 0.500
B 0.500 0.500 0.000
Hf 0.375 0.461 0.750
Hf 0.539 0.125 0.250
Hf 0.875 0.789 0.750
Hf 0.211 0.625 0.250
Na 0.000 0.000 0.000
Na 0.750 0.250 0.500
```

DFT (PBE) results for a relaxed structure of NaHfB. Values from VASP.

The formation enthalpy at 0 K comes out at 0.250 eV per atom. Its density of states at the Fermi level is 1.35 states/eV per cell.

Quantum ESPRESSO input file:
```
&SYSTEM
  ibrav = 0, nat = 6, ntyp = 3
/
ATOMIC_SPECIES
Na 22.99 Na.upf
B 10.81 B.upf
Hf 178.49 Hf.upf
CELL_PARAMETERS angstrom
4.313 0.000 0.000
0.000 4.313 0.000
0.000 0.000 7.016
ATOMIC_POSITIONS crystal
Na 0.500 0.000 0.844
Na 0.000 0.500 0.156
B 0.500 0.500 0.500
B 0.000 0.000 0.500
Hf 0.000 0.500 0.608
Hf 0.500 0.000 0.392
```

DFT (PBE) results for a relaxed structure of Na3HfB. Values from VASP.

The formation enthalpy at 0 K comes out at 2.279 eV per atom. Its density of states at the Fermi level is 12.28 states/eV per cell.

Quantum ESPRESSO input file:
```
&SYSTEM
  ibrav = 0, nat = 5, ntyp = 3
/
ATOMIC_SPECIES
Na 22.99 Na.upf
B 10.81 B.upf
Hf 178.49 Hf.upf
CELL_PARAMETERS angstrom
-2.501 -1.136 5.441
-4.824 -2.520 -2.744
2.761 -5.433 0.135
ATOMIC_POSITIONS crystal
Na 0.000 0.500 0.000
Na 0.500 0.000 0.000
Na 0.000 0.000 0.500
B 0.500 0.500 0.500
Hf 0.000 0.000 0.000
```

DFT (PBE) results for a relaxed structure of NaHfB. Values from VASP.

The formation enthalpy at 0 K comes out at 0.608 eV per atom. Its density of states at the Fermi level is 0.14 states/eV per cell.

Quantum ESPRESSO input file:
```
&SYSTEM
  ibrav = 0, nat = 3, ntyp = 3
/
ATOMIC_SPECIES
Hf 178.49 Hf.upf
B 10.81 B.upf
Na 22.99 Na.upf
CELL_PARAMETERS angstrom
3.374 1.058 2.172
-0.241 0.450 4.118
1.812 -2.773 2.500
ATOMIC_POSITIONS crystal
Hf 0.750 0.750 0.750
B 0.000 0.000 0.000
Na 0.250 0.250 0.250
```

DFT (PBE) results for a relaxed structure of NaHfB. Values from VASP.

The formation enthalpy at 0 K comes out at 0.691 eV per atom. Its density of states at the Fermi level is 5.79 states/eV per cell.

Quantum ESPRESSO input file:
```
&SYSTEM
  ibrav = 0, nat = 6, ntyp = 3
/
ATOMIC_SPECIES
Hf 178.49 Hf.upf
Na 22.99 Na.upf
B 10.81 B.upf
CELL_PARAMETERS angstrom
3.229 -1.864 0.000
0.000 3.728 0.000
0.000 0.000 10.226
ATOMIC_POSITIONS crystal
Hf 0.000 0.000 0.201
Hf 0.000 0.000 0.799
Na 0.667 0.333 0.500
Na 0.667 0.333 0.000
B 0.333 0.667 0.094
B 0.333 0.667 0.906
```

DFT (PBE) results for a relaxed structure of NaHfB. Values from VASP.

The formation enthalpy at 0 K comes out at 0.074 eV per atom. Its density of states at the Fermi level is 3.92 states/eV per cell.

Quantum ESPRESSO input file:
```
&SYSTEM
  ibrav = 0, nat = 6, ntyp = 3
/
ATOMIC_SPECIES
B 10.81 B.upf
Na 22.99 Na.upf
Hf 178.49 Hf.upf
CELL_PARAMETERS angstrom
-7.527 3.215 -4.655
-1.609 -2.669 -0.205
-1.290 2.319 3.738
ATOMIC_POSITIONS crystal
B 0.901 0.097 0.234
B 0.871 0.683 0.376
Na 0.147 0.525 0.316
Na 0.407 0.090 0.761
Hf 0.650 0.229 0.265
Hf 0.850 0.412 0.816
```

DFT (PBE) results for a relaxed structure of NaHfB. Values from VASP.

The formation enthalpy at 0 K comes out at -0.029 eV per atom. Its density of states at the Fermi level is 3.76 states/eV per cell.

Quantum ESPRESSO input file:
```
&SYSTEM
  ibrav = 0, nat = 6, ntyp = 3
/
ATOMIC_SPECIES
B 10.81 B.upf
Hf 178.49 Hf.upf
Na 22.99 Na.upf
CELL_PARAMETERS angstrom
-1.025 1.402 -2.920
-6.146 -8.785 -2.059
-2.614 1.451 1.614
ATOMIC_POSITIONS crystal
B 0.500 0.880 0.500
B 0.000 0.120 0.000
Hf 0.500 0.101 0.500
Hf 0.000 0.899 0.000
Na 0.000 0.360 0.000
Na 0.500 0.640 0.500
```

DFT (PBE) results for a relaxed structure of NaHfB. Values from VASP.

The formation enthalpy at 0 K comes out at 0.240 eV per atom. Its density of states at the Fermi level is 3.99 states/eV per cell.

Quantum ESPRESSO input file:
```
&SYSTEM
  ibrav = 0, nat = 6, ntyp = 3
/
ATOMIC_SPECIES
B 10.81 B.upf
Na 22.99 Na.upf
Hf 178.49 Hf.upf
CELL_PARAMETERS angstrom
-1.299 -6.316 0.814
1.273 -2.026 -3.964
3.321 -6.023 0.735
ATOMIC_POSITIONS crystal
B 0.270 0.425 0.575
B 0.575 0.730 0.270
Na 0.394 0.102 0.898
Na 0.898 0.606 0.394
Hf 0.682 0.318 0.094
Hf 0.094 0.906 0.682
```

DFT (PBE) results for a relaxed structure of NaHfB. Values from VASP.

The formation enthalpy at 0 K comes out at -0.044 eV per atom. Its density of states at the Fermi level is 4.64 states/eV per cell.

Quantum ESPRESSO input file:
```
&SYSTEM
  ibrav = 0, nat = 6, ntyp = 3
/
ATOMIC_SPECIES
B 10.81 B.upf
Na 22.99 Na.upf
Hf 178.49 Hf.upf
CELL_PARAMETERS angstrom
15.919 0.000 0.008
1.595 1.597 -2.260
-1.595 1.597 2.260
ATOMIC_POSITIONS crystal
B 0.196 0.581 0.419
B 0.221 0.207 0.793
Na 0.818 0.542 0.458
Na 0.562 0.642 0.358
Hf 0.048 0.493 0.507
Hf 0.331 0.690 0.310
```

DFT (PBE) results for a relaxed structure of NaHfB. Values from VASP.

The formation enthalpy at 0 K comes out at 0.708 eV per atom. Its density of states at the Fermi level is 2.51 states/eV per cell.

Quantum ESPRESSO input file:
```
&SYSTEM
  ibrav = 0, nat = 3, ntyp = 3
/
ATOMIC_SPECIES
Na 22.99 Na.upf
B 10.81 B.upf
Hf 178.49 Hf.upf
CELL_PARAMETERS angstrom
3.358 -1.939 0.000
0.000 3.877 0.000
0.000 0.000 5.106
ATOMIC_POSITIONS crystal
Na 0.667 0.333 0.500
B 0.000 0.000 0.000
Hf 0.333 0.667 0.000
```

DFT (PBE) results for a relaxed structure of NaHfB. Values from VASP.

The formation enthalpy at 0 K comes out at 0.194 eV per atom. Its density of states at the Fermi level is 3.86 states/eV per cell.

Quantum ESPRESSO input file:
```
&SYSTEM
  ibrav = 0, nat = 6, ntyp = 3
/
ATOMIC_SPECIES
B 10.81 B.upf
Hf 178.49 Hf.upf
Na 22.99 Na.upf
CELL_PARAMETERS angstrom
-1.731 5.924 -3.236
2.334 1.327 -3.711
-2.161 -3.892 -1.078
ATOMIC_POSITIONS crystal
B 0.000 0.343 0.343
B 0.000 0.657 0.657
Hf 0.892 0.264 0.736
Hf 0.108 0.736 0.264
Na 0.517 0.812 0.188
Na 0.483 0.188 0.812
```

DFT (PBE) results for a relaxed structure of NaHf2B2. Values from VASP.

The formation enthalpy at 0 K comes out at 0.321 eV per atom. Its density of states at the Fermi level is 5.53 states/eV per cell.

Quantum ESPRESSO input file:
```
&SYSTEM
  ibrav = 0, nat = 10, ntyp = 3
/
ATOMIC_SPECIES
Hf 178.49 Hf.upf
B 10.81 B.upf
Na 22.99 Na.upf
CELL_PARAMETERS angstrom
-6.242 -3.748 -0.265
1.175 -1.458 -7.040
1.388 -2.362 0.721
ATOMIC_POSITIONS crystal
Hf 0.359 0.859 0.000
Hf 0.141 0.359 0.000
Hf 0.859 0.641 0.000
Hf 0.641 0.141 0.000
B 0.162 0.662 0.500
B 0.662 0.838 0.500
B 0.838 0.338 0.500
B 0.338 0.162 0.500
Na 0.000 0.000 0.000
Na 0.500 0.500 0.000
```

| no. | total energy (eV per atom) |
| --- | --- |
| 1 | -6.42 |
| 2 | -5.73 |
| 3 | -1.84 |
| 4 | -5.38 |
| 5 | -5.29 |
| 6 | -5.91 |
| 7 | -6.01 |
| 8 | -5.74 |
| 9 | -6.03 |
| 10 | -5.28 |
| 11 | -5.79 |
| 12 | -6.60 |